[1]
# Pr3Se2 (PBE, relaxed)
data_Pr3Se2
_space_group_name_H-M_alt 'R -3 m'
_space_group_IT_number 166
_space_group_name_Hall '-R 3 2"'
_cell_length_a 4.1458
_cell_length_b 4.1458
_cell_length_c 30.9729
_cell_angle_alpha 90.00
_cell_angle_beta 90.00
_cell_angle_gamma 120.00
loop_
_atom_site_label
_atom_site_type_symbol
_atom_site_fract_x
_atom_site_fract_y
_atom_site_fract_z
Pr1 Pr 0.0000 0.0000 0.0000
Pr2 Pr 0.0000 0.0000 0.2156
Se1 Se 0.0000 0.0000 0.3919
# ΔE to the lowest computed polymorph = 0.00 eV per formula unit
# Uncorrected formation energy = -1.404 eV per atom

***

[2]
# Pr10Se19 (PBE, relaxed)
data_Pr10Se19
_space_group_name_H-M_alt 'P 42/n'
_space_group_IT_number 86
_cell_length_a 9.395
_cell_length_b 9.395
_cell_length_c 17.174
_cell_angle_alpha 90.00
_cell_angle_beta 90.00
_cell_angle_gamma 90.00
loop_
_space_group_symop_operation_xyz
'x,y,z'
'-x,-y,-z'
'-y,x+1/2,z+1/2'
'y,-x+1/2,-z+1/2'
'-x+1/2,-y+1/2,z'
'x+1/2,y+1/2,-z'
'y+1/2,-x,z+1/2'
'-y+1/2,x,-z+1/2'
loop_
_atom_site_label
_atom_site_type_symbol
_atom_site_fract_x
_atom_site_fract_y
_atom_site_fract_z
Pr1 Pr 0.043 0.347 0.120
Pr2 Pr 0.054 0.352 0.606
Pr3 Pr 0.250 0.750 0.117
Se1 Se 0.030 0.826 0.250
Se2 Se 0.049 0.348 0.429
Se3 Se 0.052 0.351 0.937
Se4 Se 0.066 0.883 0.751
Se5 Se 0.250 0.250 0.250
Se6 Se 0.250 0.750 0.436
# Uncorrected formation energy = -1.692 eV per atom

***

[3]
# Pr3Se4 (PBE, relaxed)
data_Pr3Se4
_space_group_name_H-M_alt 'I -4 3 d'
_space_group_IT_number 220
_space_group_name_Hall 'I -4bd 2c 3'
_cell_length_a 9.012
_cell_length_b 9.012
_cell_length_c 9.012
_cell_angle_alpha 90.00
_cell_angle_beta 90.00
_cell_angle_gamma 90.00
loop_
_atom_site_label
_atom_site_type_symbol
_atom_site_fract_x
_atom_site_fract_y
_atom_site_fract_z
Pr1 Pr 0.000 0.250 0.375
Se1 Se 0.075 0.075 0.075
# ΔE to the lowest computed polymorph = 0.00 eV per formula unit
# Uncorrected formation energy = -1.864 eV per atom

***

[4]
# Pr8Se3 (PBE, relaxed)
data_Pr8Se3
_space_group_name_H-M_alt 'R -3 m'
_space_group_IT_number 166
_space_group_name_Hall '-R 3 2"'
_cell_length_a 5.4591
_cell_length_b 5.4591
_cell_length_c 37.9274
_cell_angle_alpha 90.00
_cell_angle_beta 90.00
_cell_angle_gamma 120.00
loop_
_atom_site_label
_atom_site_type_symbol
_atom_site_fract_x
_atom_site_fract_y
_atom_site_fract_z
Pr1 Pr 0.0000 0.0000 0.0446
Pr2 Pr 0.0000 0.0000 0.1424
Pr3 Pr 0.0000 0.0000 0.3201
Pr4 Pr 0.0000 0.0000 0.4214
Se1 Se 0.0000 0.0000 0.2295
Se2 Se 0.0000 0.0000 0.5000
# Uncorrected formation energy = -0.658 eV per atom

***

[5]
# Pr2Se3 (PBE, relaxed)
data_Pr2Se3
_space_group_name_H-M_alt 'P n m a'
_space_group_IT_number 62
_cell_length_a 11.629
_cell_length_b 4.226
_cell_length_c 11.259
_cell_angle_alpha 90.00
_cell_angle_beta 90.00
_cell_angle_gamma 90.00
loop_
_space_group_symop_operation_xyz
'x,y,z'
'-x,-y,-z'
'-x+1/2,-y,z+1/2'
'x+1/2,y,-z+1/2'
'x+1/2,-y+1/2,-z+1/2'
'-x+1/2,y+1/2,z+1/2'
'-x,y+1/2,-z'
'x,-y+1/2,z'
loop_
_atom_site_label
_atom_site_type_symbol
_atom_site_fract_x
_atom_site_fract_y
_atom_site_fract_z
Pr1 Pr 0.011 0.250 0.187
Pr2 Pr 0.193 0.250 0.503
Se1 Se 0.045 0.750 0.375
Se2 Se 0.121 0.250 0.944
Se3 Se 0.229 0.750 0.700
# Uncorrected formation energy = -1.904 eV per atom

***

[6]
# Pr3Se4 (PBE, relaxed)
data_Pr3Se4
_space_group_name_H-M_alt 'R -3 m'
_space_group_IT_number 166
_space_group_name_Hall '-R 3 2"'
_cell_length_a 4.3238
_cell_length_b 4.3238
_cell_length_c 41.2169
_cell_angle_alpha 90.00
_cell_angle_beta 90.00
_cell_angle_gamma 120.00
loop_
_atom_site_label
_atom_site_type_symbol
_atom_site_fract_x
_atom_site_fract_y
_atom_site_fract_z
Pr1 Pr 0.0000 0.0000 0.0000
Pr2 Pr 0.0000 0.0000 0.2440
Se1 Se 0.0000 0.0000 0.1238
Se2 Se 0.0000 0.0000 0.3758
# ΔE to the lowest computed polymorph = 0.50 eV per formula unit
# Uncorrected formation energy = -1.792 eV per atom

***

> Which of these has the lowest uncorrected formation energy?

Pr2Se3